Entry 1:
SrPb2 | PBE-GGA | optimized geometry

Output
E: -3.235 eV/atom
Formation energy: -202.5 meV/atom
Density: 7.2 g/cm3

Structure (CIF):
```
data_SrPb2
_chemical_formula_sum 'Sr1 Pb2'
_cell_length_a 4.596
_cell_length_b 4.596
_cell_length_c 5.463
_cell_angle_alpha 90.00
_cell_angle_beta 90.00
_cell_angle_gamma 90.00
_symmetry_space_group_name_H-M 'P 4/m m m'
_symmetry_Int_Tables_number 123
_symmetry_space_group_name_Hall '-P 4 2'
loop_
_atom_site_label
_atom_site_fract_x
_atom_site_fract_y
_atom_site_fract_z
_atom_site_occupancy
Sr1 0.000 0.000 0.000 1
Pb1 0.000 0.500 0.500 1
```

Entry 2:
SrPb8 | PBE-GGA | optimized geometry

Output
E: -3.591 eV/atom
Formation energy: -107.4 meV/atom
Density: 10.0 g/cm3

Structure (CIF):
```
data_SrPb8
_chemical_formula_sum 'Sr2 Pb16'
_cell_length_a 10.679
_cell_length_b 10.679
_cell_length_c 5.097
_cell_angle_alpha 90.00
_cell_angle_beta 90.00
_cell_angle_gamma 90.00
_symmetry_space_group_name_H-M 'I 4/m m m'
_symmetry_Int_Tables_number 139
_symmetry_space_group_name_Hall '-I 4 2'
loop_
_atom_site_label
_atom_site_fract_x
_atom_site_fract_y
_atom_site_fract_z
_atom_site_occupancy
Sr1 0.000 0.000 0.000 1
Pb1 0.000 0.340 0.000 1
Pb2 0.175 0.175 0.500 1
```

Entry 3:
SrPb2 | PBE-GGA | optimized geometry

Output
E: -3.353 eV/atom
Formation energy: -320.1 meV/atom
Density: 8.1 g/cm3

Structure (CIF):
```
data_SrPb2
_chemical_formula_sum 'Sr4 Pb8'
_cell_length_a 14.991
_cell_length_b 4.767
_cell_length_c 5.832
_cell_angle_alpha 90.00
_cell_angle_beta 96.81
_cell_angle_gamma 90.00
_symmetry_space_group_name_H-M 'C 1 2/m 1'
_symmetry_Int_Tables_number 12
_symmetry_space_group_name_Hall '-C 2y'
loop_
_atom_site_label
_atom_site_fract_x
_atom_site_fract_y
_atom_site_fract_z
_atom_site_occupancy
Sr1 0.100 0.000 0.274 1
Pb1 0.082 0.500 0.762 1
Pb2 0.235 0.000 0.791 1
```

Entry 4:
Sr3Pb | PBE-GGA | optimized geometry

Output
E: -2.452 eV/atom
Formation energy: -263.5 meV/atom
Density: 4.4 g/cm3

Structure (CIF):
```
data_Sr3Pb
_chemical_formula_sum 'Sr6 Pb2'
_cell_length_a 4.250
_cell_length_b 6.158
_cell_length_c 13.431
_cell_angle_alpha 90.00
_cell_angle_beta 90.00
_cell_angle_gamma 90.00
_symmetry_space_group_name_H-M 'I m m m'
_symmetry_Int_Tables_number 71
_symmetry_space_group_name_Hall '-I 2 2'
loop_
_atom_site_label
_atom_site_fract_x
_atom_site_fract_y
_atom_site_fract_z
_atom_site_occupancy
Sr1 0.000 0.000 0.000 1
Sr2 0.000 0.500 0.201 1
Pb1 0.000 0.000 0.500 1
```